1.
Li3TaS4 after structural relaxation, computed with PBE.

```
Li3TaS4
1.0
-3.361 3.361 3.361
3.361 -3.361 3.361
3.361 3.361 -3.361
Ta Li S
1 3 4
Direct
0.000 0.000 0.000
0.000 0.500 0.500
0.500 0.500 0.000
0.500 0.000 0.500
0.608 0.000 0.000
0.000 0.608 0.000
0.392 0.392 0.392
0.000 0.000 0.608
```

---

2.
ThCoB4 after structural relaxation, computed with PBE.

```
ThCoB4
1.0
1.283 0.504 4.900
-2.479 4.109 1.695
-0.628 -4.702 -1.844
B Th Co
4 1 1
Direct
0.080 0.754 0.326
0.572 0.246 0.326
0.428 0.754 0.674
0.920 0.246 0.674
0.500 0.500 0.000
0.000 0.000 0.000
```

Calculated values
- excess energy over the best structure of this formula in the dataset (eV per formula unit) = 1.58

---

no.,size of the total moment (μB/cell),total DFT energy (no corrections) (eV per cell)
1,0.0,-42.59
2,0.2,-41.00